First-principles (GGA-PBE) data for a relaxed structure of Sr3Pm2PaBi6, as listed in Alexandria via LeMat-Bulk.

Calculated values
- Calculated total energy: -4.69 eV/atom
- M_tot: 0.000 μB/f.u.

Lattice parameters (Å, degrees): 8.076 14.011 8.212 90.00 109.22 90.00
Space group C2/m (No. 12)
One atom of each set of equivalent atoms:
Sr: 0.000 0.000 0.000 (multiplicity 2)
Sr: 0.000 0.329 0.000 (multiplicity 4)
Pm: 0.000 0.166 0.500 (multiplicity 4)
Pa: 0.000 0.500 0.500 (multiplicity 2)
Bi: 0.237 0.338 0.727 (multiplicity 8)
Bi: 0.246 0.500 0.271 (multiplicity 4)